[1]
The following is a PBE-GGA calculation of an optimized crystal structure of YCoAs2Se, from the Alexandria database.

Results
formation energy (no corrections) = 0.83 eV/atom
E = -22.194 eV for the cell shown
space-group type = P4/mmm (123)
V = 31.32 Å³/atom
magnetization = 2.06 μB per formula unit

Cell lengths 5.4079, 5.4079, 5.3556 Å; angles 90.00, 90.00, 90.00 degrees
Last column: nearest neighbours and their distance in Å.
Atoms (fractional coordinates):
Co  0.5000  0.5000  0.5000  8 As 3.81, 4 Se 3.82
Se  0.0000  0.0000  0.5000  2 Y 2.68
As  0.5000  0.0000  0.0000  2 Y 2.70
As  0.0000  0.5000  0.0000  2 Y 2.70
Y  0.0000  0.0000  0.0000  2 Se 2.68, 4 As 2.70

[2]
The following is a PBE-GGA calculation of an optimized crystal structure of SrPtW, from the Alexandria database.

Results
E = -40.674 eV for the cell shown
space-group type = P-1 (2)
V = 21.15 Å³/atom
magnetization = 0.00 μB per formula unit
energy of formation from the pure elements = 10.9 kJ per mole of atoms

Cell lengths 2.9645, 5.1515, 8.8002 Å; angles 72.99, 87.36, 80.88 degrees
Last column: nearest neighbours and their distance in Å.
Atoms (fractional coordinates):
W  0.8912  0.2249  0.2608  1 W 2.51, 2 Pt 2.75
W  0.6509  0.7788  0.2608  1 W 2.51, 2 Pt 2.75
Pt  0.2713  0.3870  0.4907  4 W 2.75-2.89, 2 Pt 2.96, 2 Sr 3.00
Pt  0.2709  0.6166  0.0310  4 W 2.75-2.89, 2 Pt 2.96, 2 Sr 3.00
Sr  0.7700  0.8166  0.6313  2 Sr 2.96, 2 Pt 3.00
Sr  0.7720  0.1871  0.8904  2 Sr 2.96, 2 Pt 3.00

[3]
The following is a PBE-GGA calculation of an optimized crystal structure of CrGa2Se, from the Alexandria database.

Results
formation energy (no corrections) = 0.13 eV/atom
E = -37.318 eV for the cell shown
space-group type = I-42d (122)
V = 19.63 Å³/atom
magnetization = 4.21 μB per formula unit

Cell lengths 7.6119, 7.6119, 6.0265 Å; angles 50.84, 50.84, 90.00 degrees
Last column: nearest neighbours and their distance in Å.
Atoms (fractional coordinates):
Ga  0.8750  0.8770  0.7500  2 Ga 2.71, 2 Se 2.76, 2 Cr 2.79
Ga  0.3750  0.3730  0.7500  2 Ga 2.71, 2 Se 2.76, 2 Cr 2.79
Ga  0.1230  0.6250  0.2500  2 Ga 2.71, 2 Se 2.76, 2 Cr 2.79
Ga  0.6270  0.1250  0.2500  2 Ga 2.71, 2 Se 2.76, 2 Cr 2.79
Cr  0.5000  0.5000  0.0000  2 Se 2.71, 4 Ga 2.79
Cr  0.2500  0.7500  0.5000  2 Se 2.71, 4 Ga 2.79
Se  0.0000  0.0000  0.0000  2 Cr 2.71, 4 Ga 2.76
Se  0.7500  0.2500  0.5000  2 Cr 2.71, 4 Ga 2.76

[4]
The following is a PBE-GGA calculation of an optimized crystal structure of Pm6SmY5, from the Alexandria database.

Results
E = -65.413 eV for the cell shown
space-group type = C2/m (12)
V = 33.31 Å³/atom
magnetization = 0.00 μB per formula unit
energy of formation from the pure elements = 1.0 kJ per mole of atoms

Cell lengths 11.9146, 6.2738, 6.2725 Å; angles 59.99, 84.98, 79.93 degrees
Last column: nearest neighbours and their distance in Å.
Atoms (fractional coordinates):
Y  0.5000  0.8332  0.3335  6 Pm 3.59-3.60, 6 Y 3.62
Y  0.0000  0.3333  0.3333  6 Pm 3.61, 3 Y 3.62, 3 Sm 3.62
Y  0.0000  0.6667  0.6667  6 Pm 3.61, 3 Y 3.62, 3 Sm 3.62
Y  0.5000  0.5000  0.0000  6 Pm 3.60, 6 Y 3.62
Y  0.5000  0.1668  0.6665  6 Pm 3.59-3.60, 6 Y 3.62
Pm  0.7493  0.0832  0.3330  5 Y 3.59-3.61, 1 Sm 3.61, 6 Pm 3.62
Pm  0.2507  0.5837  0.3330  5 Y 3.59-3.61, 1 Sm 3.61, 6 Pm 3.62
Pm  0.7496  0.7503  0.0000  5 Y 3.60-3.61, 1 Sm 3.60, 6 Pm 3.62
Pm  0.2504  0.2497  0.0000  5 Y 3.60-3.61, 1 Sm 3.60, 6 Pm 3.62
Pm  0.2507  0.9168  0.6670  5 Y 3.59-3.61, 1 Sm 3.61, 6 Pm 3.62
Pm  0.7493  0.4163  0.6670  5 Y 3.59-3.61, 1 Sm 3.61, 6 Pm 3.62
Sm  0.0000  0.0000  0.0000  6 Pm 3.60-3.61, 6 Y 3.62

[5]
The following is a PBE-GGA calculation of an optimized crystal structure of Ac5Si3, from the Alexandria database.

Results
formation energy (no corrections) = -0.44 eV/atom
E = -80.613 eV for the cell shown
space-group type = I4/mcm (140)
V = 31.99 Å³/atom
magnetization = 0.00 μB per formula unit

Cell lengths 8.2765, 8.2765, 9.4909 Å; angles 115.85, 115.85, 90.00 degrees
Last column: nearest neighbours and their distance in Å.
Atoms (fractional coordinates):
Si  0.2500  0.2500  0.5000  10 Ac 3.44-3.74
Si  0.6146  0.8854  0.0000  1 Si 2.68
Si  0.3854  0.1146  0.0000  1 Si 2.68
Si  0.7500  0.7500  0.5000  10 Ac 3.44-3.74
Si  0.1146  0.6146  0.0000  1 Si 2.68
Si  0.8854  0.3854  0.0000  1 Si 2.68
Ac  0.4705  0.9705  0.2898  5 Si 3.26-3.44, 1 Ac 3.60
Ac  0.5000  0.5000  0.0000  4 Si 3.33
Ac  0.9705  0.8194  0.2898  5 Si 3.26-3.44, 1 Ac 3.60
Ac  0.5295  0.0295  0.7102  5 Si 3.26-3.44, 1 Ac 3.60
Ac  0.6806  0.5295  0.7102  5 Si 3.26-3.44, 1 Ac 3.60
Ac  0.0000  0.0000  0.0000  4 Si 3.33
Ac  0.8194  0.3194  0.2898  5 Si 3.26-3.44, 1 Ac 3.60
Ac  0.1806  0.6806  0.7102  5 Si 3.26-3.44, 1 Ac 3.60
Ac  0.0295  0.1806  0.7102  5 Si 3.26-3.44, 1 Ac 3.60
Ac  0.3194  0.4705  0.2898  5 Si 3.26-3.44, 1 Ac 3.60

[6]
The following is a PBE-GGA calculation of an optimized crystal structure of Pr4Dy3Ho5, from the Alexandria database.

Results
E = -53.096 eV for the cell shown
space-group type = C2/m (12)
V = 33.71 Å³/atom
magnetization = 0.52 μB per formula unit
energy of formation from the pure elements = 21.8 kJ per mole of atoms

Cell lengths 5.9527, 8.6116, 9.7074 Å; angles 105.31, 72.15, 69.78 degrees
Last column: nearest neighbours and their distance in Å.
Atoms (fractional coordinates):
Ho  0.7874  0.5421  0.8831  4 Dy 3.21-3.47, 3 Pr 3.45-3.53
Ho  0.6314  0.9388  0.7983  2 Dy 3.29-3.47, 2 Ho 3.44-3.60
Ho  0.3686  0.0612  0.2017  2 Dy 3.29-3.47, 2 Ho 3.44-3.60
Ho  0.2126  0.4579  0.1169  4 Dy 3.21-3.47, 3 Pr 3.45-3.53
Ho  0.5000  0.5000  0.5000  4 Dy 2.98-3.14
Pr  0.8615  0.2234  0.0535  2 Pr 3.32-3.68, 1 Dy 3.44, 3 Ho 3.45-3.53
Pr  0.1385  0.7766  0.9465  2 Pr 3.32-3.68, 1 Dy 3.44, 3 Ho 3.45-3.53
Pr  0.8335  0.9504  0.3825  3 Dy 3.37-3.55, 3 Pr 3.57-3.68, 3 Ho 3.70-3.71
Pr  0.1665  0.0496  0.6175  3 Dy 3.37-3.55, 3 Pr 3.57-3.68, 3 Ho 3.70-3.71
Dy  0.5244  0.6882  0.2630  5 Ho 3.14-3.47, 2 Pr 3.37-3.44
Dy  0.0000  0.5000  0.5000  2 Ho 2.98
Dy  0.4756  0.3118  0.7370  5 Ho 3.14-3.47, 2 Pr 3.37-3.44

[7]
The following is a PBE-GGA calculation of an optimized crystal structure of Ac2NdSm2, from the Alexandria database.

Results
E = -20.298 eV for the cell shown
space-group type = I4/mmm (139)
V = 41.22 Å³/atom
magnetization = 0.00 μB per formula unit
energy of formation from the pure elements = 41.0 kJ per mole of atoms

Cell lengths 4.9765, 4.9765, 9.0347 Å; angles 105.99, 105.99, 90.00 degrees
Last column: nearest neighbours and their distance in Å.
Atoms (fractional coordinates):
Ac  0.7500  0.2500  0.5000  4 Ac 3.52, 4 Sm 3.62
Ac  0.2500  0.7500  0.5000  4 Ac 3.52, 4 Sm 3.62
Sm  0.4083  0.4083  0.8166  1 Sm 3.05
Sm  0.5917  0.5917  0.1834  1 Sm 3.05
Nd  0.0000  0.0000  0.0000  8 Sm 3.84

[8]
The following is a PBE-GGA calculation of an optimized crystal structure of PmGa3Si, from the Alexandria database.

Results
formation energy (no corrections) = -0.30 eV/atom
E = -20.778 eV for the cell shown
space-group type = Cm (8)
V = 20.23 Å³/atom
magnetization = 0.00 μB per formula unit

Cell lengths 4.6868, 4.6868, 5.5865 Å; angles 111.34, 111.34, 97.93 degrees
Last column: nearest neighbours and their distance in Å.
Atoms (fractional coordinates):
Ga  0.1522  0.6538  0.3057  2 Si 2.56, 2 Ga 2.62-2.63
Ga  0.0262  0.0262  0.0508  1 Si 2.43, 4 Ga 2.62-2.63
Ga  0.6538  0.1522  0.3057  2 Si 2.56, 2 Ga 2.62-2.63
Pm  0.4017  0.4017  0.8042  11 Ga 3.28-3.50, 3 Si 3.33-3.36
Si  0.7631  0.7631  0.5275  5 Ga 2.43-2.56